Record 1
K2RhPbCl8 | PBE-GGA | optimized geometry

Properties
Space group = P-1 (2)
Uncorrected formation energy = -1.0947 eV/atom

Geometry as CIF:
```
data_K2RhPbCl8
_cell_length_a 7.000
_cell_length_b 6.417
_cell_length_c 8.374
_cell_angle_alpha 89.74
_cell_angle_beta 90.20
_cell_angle_gamma 91.71
_symmetry_space_group_name_H-M 'P 1'
_symmetry_Int_Tables_number 1
_symmetry_space_group_name_Hall 'P 1'
loop_
_atom_site_label
_atom_site_type_symbol
_atom_site_fract_x
_atom_site_fract_y
_atom_site_fract_z
Cl1 Cl 0.700 0.827 0.998
Pb1 Pb 0.000 0.000 0.500
K1 K 0.499 0.503 0.232
Cl2 Cl 0.674 0.754 0.501
Cl3 Cl 0.105 0.775 0.204
Rh1 Rh 0.000 0.000 0.000
Cl4 Cl 0.326 0.246 0.499
Cl5 Cl 0.300 0.173 0.002
Cl6 Cl 0.892 0.224 0.202
Cl7 Cl 0.108 0.776 0.798
K2 K 0.501 0.497 0.768
Cl8 Cl 0.895 0.225 0.796
```

=====

Record 2
K2RhPbCl6 | PBE-GGA | optimized geometry

Properties
Space group = P-1 (2)
Uncorrected formation energy = -1.2073 eV/atom

Geometry as CIF:
```
data_K2RhPbCl6
_cell_length_a 7.447
_cell_length_b 7.069
_cell_length_c 7.677
_cell_angle_alpha 118.68
_cell_angle_beta 121.16
_cell_angle_gamma 90.81
_symmetry_space_group_name_H-M 'P 1'
_symmetry_Int_Tables_number 1
_symmetry_space_group_name_Hall 'P 1'
loop_
_atom_site_label
_atom_site_type_symbol
_atom_site_fract_x
_atom_site_fract_y
_atom_site_fract_z
Cl1 Cl 0.157 0.218 0.476
Cl2 Cl 0.843 0.783 0.524
Cl3 Cl 0.215 0.757 0.056
Cl4 Cl 0.785 0.244 0.944
K1 K 0.229 0.717 0.457
Cl5 Cl 0.316 0.263 0.124
Pb1 Pb 0.500 0.500 0.000
K2 K 0.771 0.284 0.542
Cl6 Cl 0.684 0.738 0.875
Rh1 Rh 0.000 0.000 0.000
```

=====

Record 3
K2RuPbCl8 | PBE-GGA | optimized geometry

Properties
Space group = P-1 (2)
Uncorrected formation energy = -1.1122 eV/atom

Geometry as CIF:
```
data_K2RuPbCl8
_cell_length_a 6.869
_cell_length_b 6.653
_cell_length_c 8.511
_cell_angle_alpha 89.96
_cell_angle_beta 90.00
_cell_angle_gamma 91.63
_symmetry_space_group_name_H-M 'P 1'
_symmetry_Int_Tables_number 1
_symmetry_space_group_name_Hall 'P 1'
loop_
_atom_site_label
_atom_site_type_symbol
_atom_site_fract_x
_atom_site_fract_y
_atom_site_fract_z
Cl1 Cl 0.705 0.819 0.000
Cl2 Cl 0.118 0.788 0.200
Cl3 Cl 0.295 0.181 0.000
Cl4 Cl 0.672 0.748 0.500
Cl5 Cl 0.881 0.212 0.200
Pb1 Pb 0.000 0.000 0.500
Cl6 Cl 0.119 0.788 0.800
K1 K 0.500 0.501 0.238
Ru1 Ru 0.000 0.000 0.000
Cl7 Cl 0.882 0.212 0.800
Cl8 Cl 0.328 0.252 0.500
K2 K 0.500 0.499 0.762
```

=====

Record 4
KPbSCl2 | PBE-GGA | optimized geometry

Properties
Space group = P4/mmm (123)
Uncorrected formation energy = -0.9651 eV/atom

Geometry as CIF:
```
data_KPbSCl2
_cell_length_a 5.634
_cell_length_b 5.634
_cell_length_c 5.164
_cell_angle_alpha 90.00
_cell_angle_beta 90.00
_cell_angle_gamma 90.00
_symmetry_space_group_name_H-M 'P 1'
_symmetry_Int_Tables_number 1
_symmetry_space_group_name_Hall 'P 1'
loop_
_atom_site_label
_atom_site_type_symbol
_atom_site_fract_x
_atom_site_fract_y
_atom_site_fract_z
Pb1 Pb 0.000 0.000 0.000
Cl1 Cl 0.000 0.500 0.000
S1 S 0.000 0.000 0.500
K1 K 0.500 0.500 0.500
Cl2 Cl 0.500 0.000 0.000
```

=====

Record 5
KPbSCl2 | PBE-GGA | optimized geometry

Properties
Space group = P4/mmm (123)
Uncorrected formation energy = -0.2565 eV/atom

Geometry as CIF:
```
data_KPbSCl2
_cell_length_a 5.569
_cell_length_b 5.569
_cell_length_c 5.874
_cell_angle_alpha 90.00
_cell_angle_beta 90.00
_cell_angle_gamma 90.00
_symmetry_space_group_name_H-M 'P 1'
_symmetry_Int_Tables_number 1
_symmetry_space_group_name_Hall 'P 1'
loop_
_atom_site_label
_atom_site_type_symbol
_atom_site_fract_x
_atom_site_fract_y
_atom_site_fract_z
K1 K 0.000 0.000 0.000
Pb1 Pb 0.500 0.500 0.500
Cl1 Cl 0.500 0.000 0.000
Cl2 Cl 0.000 0.500 0.000
S1 S 0.000 0.000 0.500
```

=====

Record 6
K2SbPbCl | PBE-GGA | optimized geometry

Properties
Space group = P4/mmm (123)
Uncorrected formation energy = 0.0276 eV/atom

Geometry as CIF:
```
data_K2SbPbCl
_cell_length_a 6.940
_cell_length_b 5.490
_cell_length_c 6.940
_cell_angle_alpha 90.00
_cell_angle_beta 90.00
_cell_angle_gamma 90.00
_symmetry_space_group_name_H-M 'P 1'
_symmetry_Int_Tables_number 1
_symmetry_space_group_name_Hall 'P 1'
loop_
_atom_site_label
_atom_site_type_symbol
_atom_site_fract_x
_atom_site_fract_y
_atom_site_fract_z
K1 K 0.000 0.000 0.500
Pb1 Pb 0.000 0.000 0.000
K2 K 0.500 0.000 0.000
Sb1 Sb 0.500 0.500 0.500
Cl1 Cl 0.000 0.500 0.000
```

=====

Record 7
KSbPb2Cl8 | PBE-GGA | optimized geometry

Properties
Space group = P2/m (10)
Uncorrected formation energy = -1.1880 eV/atom

Geometry as CIF:
```
data_KSbPb2Cl8
_cell_length_a 6.851
_cell_length_b 6.613
_cell_length_c 8.858
_cell_angle_alpha 89.99
_cell_angle_beta 90.00
_cell_angle_gamma 89.18
_symmetry_space_group_name_H-M 'P 1'
_symmetry_Int_Tables_number 1
_symmetry_space_group_name_Hall 'P 1'
loop_
_atom_site_label
_atom_site_type_symbol
_atom_site_fract_x
_atom_site_fract_y
_atom_site_fract_z
Cl1 Cl 0.642 0.720 0.500
Cl2 Cl 0.839 0.228 0.217
Cl3 Cl 0.687 0.755 0.000
Cl4 Cl 0.839 0.229 0.783
Cl5 Cl 0.161 0.772 0.783
K1 K 0.000 0.000 0.500
Cl6 Cl 0.358 0.280 0.500
Pb1 Pb 0.500 0.500 0.250
Cl7 Cl 0.313 0.245 0.000
Cl8 Cl 0.161 0.771 0.217
Sb1 Sb 0.000 0.000 0.000
Pb2 Pb 0.500 0.500 0.750
```

=====

Record 8
KPbSeCl | PBE-GGA | optimized geometry

Properties
Space group = R3m (160)
Uncorrected formation energy = -1.1868 eV/atom

Geometry as CIF:
```
data_KPbSeCl
_cell_length_a 4.404
_cell_length_b 4.404
_cell_length_c 8.079
_cell_angle_alpha 74.18
_cell_angle_beta 74.18
_cell_angle_gamma 60.00
_symmetry_space_group_name_H-M 'P 1'
_symmetry_Int_Tables_number 1
_symmetry_space_group_name_Hall 'P 1'
loop_
_atom_site_label
_atom_site_type_symbol
_atom_site_fract_x
_atom_site_fract_y
_atom_site_fract_z
Cl1 Cl 0.751 0.751 0.747
Pb1 Pb 0.993 0.993 0.022
K1 K 0.496 0.496 0.511
Se1 Se 0.260 0.260 0.220
```

=====

Record 9
KPbSeCl | PBE-GGA | optimized geometry

Properties
Space group = F-43m (216)
Uncorrected formation energy = -0.9838 eV/atom

Geometry as CIF:
```
data_KPbSeCl
_cell_length_a 5.360
_cell_length_b 5.360
_cell_length_c 5.360
_cell_angle_alpha 60.00
_cell_angle_beta 60.00
_cell_angle_gamma 60.00
_symmetry_space_group_name_H-M 'P 1'
_symmetry_Int_Tables_number 1
_symmetry_space_group_name_Hall 'P 1'
loop_
_atom_site_label
_atom_site_type_symbol
_atom_site_fract_x
_atom_site_fract_y
_atom_site_fract_z
Cl1 Cl 0.750 0.750 0.750
K1 K 0.000 0.000 0.000
Pb1 Pb 0.500 0.500 0.500
Se1 Se 0.250 0.250 0.250
```

=====

Record 10
KSmPb2Cl8 | PBE-GGA | optimized geometry

Properties
Space group = P2/m (10)
Uncorrected formation energy = -1.6649 eV/atom

Geometry as CIF:
```
data_KSmPb2Cl8
_cell_length_a 6.876
_cell_length_b 6.612
_cell_length_c 8.936
_cell_angle_alpha 90.00
_cell_angle_beta 90.00
_cell_angle_gamma 89.20
_symmetry_space_group_name_H-M 'P 1'
_symmetry_Int_Tables_number 1
_symmetry_space_group_name_Hall 'P 1'
loop_
_atom_site_label
_atom_site_type_symbol
_atom_site_fract_x
_atom_site_fract_y
_atom_site_fract_z
Cl1 Cl 0.161 0.770 0.780
Cl2 Cl 0.161 0.770 0.220
Pb1 Pb 0.500 0.500 0.747
Cl3 Cl 0.839 0.230 0.780
K1 K 0.000 0.000 0.500
Cl4 Cl 0.684 0.750 0.000
Cl5 Cl 0.839 0.230 0.220
Cl6 Cl 0.316 0.250 0.000
Cl7 Cl 0.643 0.720 0.500
Cl8 Cl 0.357 0.280 0.500
Pb2 Pb 0.500 0.500 0.253
Sm1 Sm 0.000 0.000 0.000
```

=====

Record 11
KSmPbCl6 | PBE-GGA | optimized geometry

Properties
Space group = P-31c (163)
Uncorrected formation energy = -1.8624 eV/atom

Geometry as CIF:
```
data_KSmPbCl6
_cell_length_a 7.392
_cell_length_b 7.392
_cell_length_c 13.394
_cell_angle_alpha 90.00
_cell_angle_beta 90.00
_cell_angle_gamma 120.00
_symmetry_space_group_name_H-M 'P 1'
_symmetry_Int_Tables_number 1
_symmetry_space_group_name_Hall 'P 1'
loop_
_atom_site_label
_atom_site_type_symbol
_atom_site_fract_x
_atom_site_fract_y
_atom_site_fract_z
Cl1 Cl 0.020 0.647 0.865
K1 K 0.000 0.000 0.000
Cl2 Cl 0.980 0.627 0.365
Cl3 Cl 0.647 0.627 0.135
Cl4 Cl 0.020 0.373 0.635
Cl5 Cl 0.647 0.020 0.365
Cl6 Cl 0.373 0.353 0.365
Pb1 Pb 0.667 0.333 0.750
Cl7 Cl 0.353 0.373 0.865
K2 K 0.000 0.000 0.500
Cl8 Cl 0.373 0.020 0.135
Cl9 Cl 0.627 0.647 0.635
Sm1 Sm 0.667 0.333 0.250
Cl10 Cl 0.353 0.980 0.635
Pb2 Pb 0.333 0.667 0.250
Sm2 Sm 0.333 0.667 0.750
Cl11 Cl 0.627 0.980 0.865
Cl12 Cl 0.980 0.353 0.135
```